Entry from Alexandria: a geometry-optimized NdThH2 structure (PBE).

a = 3.636 Å, b = 3.636 Å, c = 6.344 Å
α = 73.35°, β = 73.35°, γ = 60.00°
Fractional coordinates of all 4 atoms:
Th1 0.000 0.000 0.000
H1 0.747 0.747 0.758
Nd1 0.500 0.500 0.500
H2 0.253 0.253 0.242

Values from the calculation:
Raw total energy: -5.041 eV per atom
Offset from the most stable computed form: 0.0 meV/atom
Total magnetization: 0.0 μB per cell